No. 1
Below is an optimized crystal structure of Ho4MgRu3, with properties calculated at the PBE level.

a b c (Å): 4.8436 7.0878 9.6815
angles (deg): 90.00 90.00 90.00
Last column: nearest neighbours and their distance in Å.
Element x y z (fractional)
Ru  0.0000  0.0000  0.0000  8 Ho 2.93
Ru  0.0000  0.0000  0.5000  8 Ho 2.93
Ru  0.5002  0.0000  0.7500  8 Ho 2.93
Ru  0.4998  0.0000  0.2500  8 Ho 2.93
Ru  0.5004  0.5000  0.7500  8 Ho 3.07-3.08, 4 Mg 3.42-3.43
Ru  0.4996  0.5000  0.2500  8 Ho 3.07-3.08, 4 Mg 3.42-3.43
Mg  0.0000  0.5000  0.0000  8 Ho 3.07, 4 Ru 3.42-3.43
Mg  0.0000  0.5000  0.5000  8 Ho 3.07, 4 Ru 3.42-3.43
Ho  0.5000  0.7673  0.0000  6 Ru 2.93-3.07, 2 Mg 3.07
Ho  0.5000  0.7673  0.5000  6 Ru 2.93-3.07, 2 Mg 3.07
Ho  0.5000  0.2327  0.0000  6 Ru 2.93-3.07, 2 Mg 3.07
Ho  0.5000  0.2327  0.5000  6 Ru 2.93-3.07, 2 Mg 3.07
Ho  0.0001  0.7673  0.7500  6 Ru 2.93-3.08, 2 Mg 3.07
Ho  0.9999  0.7673  0.2500  6 Ru 2.93-3.08, 2 Mg 3.07
Ho  0.9999  0.2327  0.2500  6 Ru 2.93-3.08, 2 Mg 3.07
Ho  0.0001  0.2327  0.7500  6 Ru 2.93-3.08, 2 Mg 3.07

Formation enthalpy at 0 K: -0.324 eV per atom
Space group: P4/mmm, No. 123

No. 2
Below is an optimized crystal structure of Ag2AuBr, with properties calculated at the PBE level.

a b c (Å): 5.9453 5.9453 5.9453
angles (deg): 140.54 140.54 57.04
Last column: nearest neighbours and their distance in Å.
Element x y z (fractional)
Au  0.5000  0.5000  0.0000  4 Ag 2.84
Br  0.7500  0.2500  0.5000  4 Ag 2.84
Ag  0.0000  0.0000  0.0000  4 Au 2.84
Ag  0.2500  0.7500  0.5000  4 Br 2.84

Space group: I-4m2, No. 119
E_form (uncorrected): 162 meV/atom
Energy above the most stable polymorph in this dataset: 0.81 eV/f.u.